#w
# Tb8Ho2Al

A geometry-optimized Tb8Ho2Al structure (PBE, Alexandria).

Unit cell a=5.483 b=6.446 c=9.938 alpha=93.29 beta=106.01 gamma=90.00
Positions (direct):
1 Ho 0.240 0.335 0.480
2 Tb 0.042 0.252 0.084
3 Tb 0.342 0.880 0.684
4 Tb 0.844 0.188 0.689
5 Tb 0.421 0.398 0.842
6 Ho 0.760 0.665 0.520
7 Tb 0.156 0.812 0.311
8 Al 0.500 0.000 0.000
9 Tb 0.958 0.748 0.916
10 Tb 0.579 0.602 0.158
11 Tb 0.658 0.120 0.316

#x
# Tb8Ho2Al

A geometry-optimized Tb8Ho2Al structure (PBE, Alexandria).

Unit cell a=5.405 b=7.449 c=9.730 alpha=112.45 beta=106.12 gamma=90.00
Positions (direct):
1 Tb 0.000 0.248 0.000
2 Al 0.500 0.000 0.000
3 Tb 0.633 0.398 0.266
4 Ho 0.807 0.307 0.614
5 Tb 0.000 0.752 0.000
6 Tb 0.367 0.602 0.734
7 Tb 0.182 0.183 0.364
8 Tb 0.818 0.817 0.636
9 Tb 0.366 0.130 0.733
10 Tb 0.634 0.870 0.267
11 Ho 0.193 0.693 0.386

Verdict on stability: #x comes out at the bottom.

#w
# Tb2Ho2Al

A geometry-optimized Tb2Ho2Al structure (PBE, Alexandria).

Unit cell a=3.697 b=6.480 c=6.529 alpha=86.39 beta=73.55 gamma=73.42
Positions (direct):
1 Al 0.000 0.000 0.000
2 Tb 0.775 0.808 0.642
3 Tb 0.225 0.192 0.358
4 Ho 0.414 0.351 0.821
5 Ho 0.586 0.649 0.179

#x
# Tb2Ho2Al

A geometry-optimized Tb2Ho2Al structure (PBE, Alexandria).

Unit cell a=4.943 b=4.943 c=8.965 alpha=74.00 beta=74.00 gamma=60.00
Positions (direct):
1 Al 0.000 0.000 0.000
2 Tb 0.433 0.433 0.701
3 Ho 0.700 0.700 0.901
4 Ho 0.300 0.300 0.099
5 Tb 0.567 0.567 0.299

Verdict on stability: #x comes out at the bottom.

#w
# Tb3HoAl8

A geometry-optimized Tb3HoAl8 structure (PBE, Alexandria).

Unit cell a=5.558 b=5.558 c=9.134 alpha=90.00 beta=90.00 gamma=120.00
Positions (direct):
1 Ho 0.000 0.000 0.568
2 Al 0.991 0.495 0.749
3 Al 0.333 0.667 0.000
4 Tb 0.667 0.333 0.068
5 Al 0.676 0.838 0.250
6 Al 0.505 0.495 0.749
7 Tb 0.000 0.000 0.932
8 Al 0.333 0.667 0.500
9 Tb 0.667 0.333 0.432
10 Al 0.162 0.324 0.250
11 Al 0.505 0.009 0.749
12 Al 0.162 0.838 0.250

#x
# Tb3HoAl8

A geometry-optimized Tb3HoAl8 structure (PBE, Alexandria).

Unit cell a=5.561 b=5.561 c=9.674 alpha=73.29 beta=73.29 gamma=60.00
Positions (direct):
1 Al 0.938 0.938 0.687
2 Tb 0.000 0.000 0.001
3 Al 0.437 0.937 0.188
4 Al 0.937 0.437 0.188
5 Al 0.687 0.687 0.938
6 Al 0.188 0.188 0.437
7 Ho 0.875 0.875 0.374
8 Tb 0.500 0.500 0.500
9 Tb 0.375 0.375 0.874
10 Al 0.437 0.437 0.188
11 Al 0.438 0.938 0.687
12 Al 0.938 0.438 0.687

Verdict on stability: #w comes out at the bottom.

#w
# TbHo3Al8

A geometry-optimized TbHo3Al8 structure (PBE, Alexandria).

Unit cell a=5.544 b=5.544 c=9.645 alpha=73.30 beta=73.30 gamma=60.00
Positions (direct):
1 Al 0.438 0.438 0.187
2 Al 0.938 0.438 0.187
3 Tb 0.875 0.875 0.375
4 Al 0.438 0.938 0.187
5 Al 0.688 0.688 0.937
6 Ho 0.375 0.375 0.874
7 Al 0.437 0.937 0.688
8 Al 0.937 0.437 0.688
9 Al 0.937 0.937 0.688
10 Al 0.187 0.187 0.438
11 Ho 0.500 0.500 0.501
12 Ho 0.000 0.000 0.000

#x
# TbHo3Al8

A geometry-optimized TbHo3Al8 structure (PBE, Alexandria).

Unit cell a=5.543 b=5.543 c=9.100 alpha=90.00 beta=90.00 gamma=120.00
Positions (direct):
1 Al 0.162 0.324 0.249
2 Al 0.505 0.009 0.751
3 Al 0.676 0.838 0.249
4 Ho 0.667 0.333 0.432
5 Al 0.991 0.495 0.751
6 Ho 0.667 0.333 0.067
7 Ho 0.000 0.000 0.932
8 Al 0.162 0.838 0.249
9 Al 0.333 0.667 0.000
10 Al 0.505 0.495 0.751
11 Tb 0.000 0.000 0.568
12 Al 0.333 0.667 0.500

Verdict on stability: #x comes out at the bottom.